Entry 1:
A plane-wave DFT calculation with PBE was carried out for AcPm2Pr2Tm2 after structural relaxation.

Unit cell a=5.2068 b=6.3736 c=8.1803 alpha=97.53 beta=90.00 gamma=114.11
Sites, in units of the cell vectors:
Pr: 0.2854 0.5709 0.8471
Pr: 0.7146 0.4291 0.1529
Ac: 0.0000 0.0000 0.0000
Tm: 0.8577 0.7153 0.5657
Tm: 0.1423 0.2847 0.4343
Pm: 0.4260 0.8520 0.2940
Pm: 0.5740 0.1480 0.7060

- Formation energy from the elements: 37.9 meV per atom
- Magnetization: 0.0 μB/f.u.
- Symmetry: C2/m
- DOS at the Fermi energy: 11.0 states/eV per cell
- Theoretical density: 7697 kg/m3

***

Entry 2:
A plane-wave DFT calculation with PBE was carried out for AcPm12Rh6 after structural relaxation.

Unit cell a=8.6131 b=8.6131 c=8.6131 alpha=105.34 beta=105.34 gamma=105.34
Sites, in units of the cell vectors:
Rh: 0.3090 0.7475 0.7475
Rh: 0.7475 0.7475 0.3090
Rh: 0.6910 0.2525 0.2525
Rh: 0.2525 0.6910 0.2525
Rh: 0.7475 0.3090 0.7475
Rh: 0.2525 0.2525 0.6910
Ac: 0.0000 0.0000 0.0000
Pm: 0.1239 0.5000 0.8761
Pm: 0.5547 0.5547 0.8169
Pm: 0.8761 0.1239 0.5000
Pm: 0.1239 0.8761 0.5000
Pm: 0.4453 0.1831 0.4453
Pm: 0.1831 0.4453 0.4453
Pm: 0.8169 0.5547 0.5547
Pm: 0.5000 0.1239 0.8761
Pm: 0.8761 0.5000 0.1239
Pm: 0.4453 0.4453 0.1831
Pm: 0.5000 0.8761 0.1239
Pm: 0.5547 0.8169 0.5547

- Formation energy from the elements: -423.8 meV per atom
- Magnetization: 0.0 μB/f.u.
- Symmetry: R-3m
- DOS at the Fermi energy: 18.7 states/eV per cell
- Theoretical density: 7740 kg/m3

***

Entry 3:
A plane-wave DFT calculation with PBE was carried out for DyTmPb after structural relaxation.

Unit cell a=4.5920 b=4.5920 c=8.9555 alpha=104.85 beta=104.85 gamma=90.01
Sites, in units of the cell vectors:
Tm: 0.5000 0.0000 0.0000
Tm: 0.0000 0.5000 0.0000
Pb: 0.8625 0.8625 0.7249
Pb: 0.1375 0.1375 0.2751
Dy: 0.3263 0.3263 0.6526
Dy: 0.6737 0.6737 0.3474

- Formation energy from the elements: -409.4 meV per atom
- Magnetization: 0.0 μB/f.u.
- Symmetry: I4/mmm
- DOS at the Fermi energy: 7.6 states/eV per cell
- Theoretical density: 10164 kg/m3

***

> Which of these has the lowest formation energy from the elements?

AcPm12Rh6